TlCoPbI2 | Alexandria via LeMat-Bulk | PBE | optimized geometry; formation energy without anion corrections = 0.7427 eV per atom; symmetry = P4/mmm, No. 123
1.0
-0.494 -3.289 5.306
2.084 -5.092 -2.963
5.883 1.535 1.499
Pb I Tl Co
1 2 1 1
direct
0.000 0.000 0.000
0.000 0.000 0.500
0.500 0.000 0.000
0.000 0.500 0.000
0.500 0.500 0.500

Pm5Sb2H | Alexandria via LeMat-Bulk | PBE | optimized geometry; symmetry = I4mm, No. 107
1.0
-1.586 -3.391 6.027
4.329 -5.312 -1.842
2.010 6.398 -0.051
Pm Sb H
5 2 1
direct
0.752 0.249 0.001
0.249 0.249 0.001
0.752 0.752 0.001
0.249 0.752 0.001
0.754 0.754 0.509
0.250 0.750 0.500
0.750 0.250 0.500
0.020 0.020 0.041

Raw total energy values, unit eV/atom, following the record order: -2.513 -4.965.